(1)
CaLa2Mn | the Alexandria database | PBE | optimized geometry; formation energy from the elements = 0.3044 eV per atom; space-group type = P4/mmm (123)
1.0
5.484 0.000 0.000
0.000 5.484 0.000
0.000 0.000 4.216
Ca La Mn
1 2 1
Direct
0.000 0.000 0.000
0.000 0.500 0.500
0.500 0.000 0.500
0.500 0.500 0.000


(2)
SbSeBr3 | the Alexandria database | PBE | optimized geometry; formation energy from raw total energies = 0.356 eV/atom; space-group type = Pm-3m (221)
1.0
5.425 0.000 0.000
0.000 5.425 0.000
0.000 0.000 5.425
Sb Se Br
1 1 3
Direct
0.000 0.000 0.000
0.500 0.500 0.500
0.000 0.500 0.500
0.500 0.000 0.500
0.500 0.500 0.000


(3)
Sr2Ga3Cu12Ag | the Alexandria database | PBE | optimized geometry; formation energy from the elements = 0.2567 eV per atom; space-group type = R-3m (166)
1.0
4.126 2.382 6.275
-4.126 2.382 6.275
0.000 -4.764 6.275
Sr Ga Cu Ag
2 3 12 1
Direct
0.101 0.101 0.101
0.899 0.899 0.899
0.000 0.500 0.500
0.500 0.000 0.500
0.500 0.500 0.000
0.137 0.632 0.632
0.159 0.159 0.470
0.159 0.470 0.159
0.368 0.368 0.863
0.368 0.863 0.368
0.470 0.159 0.159
0.530 0.841 0.841
0.632 0.137 0.632
0.632 0.632 0.137
0.841 0.530 0.841
0.841 0.841 0.530
0.863 0.368 0.368
0.500 0.500 0.500


no.,density (g cm⁻³)
1,4.88
2,4.58
3,5.63